<P>
A relaxed structure of Na. Source: Alexandria via LeMat-Bulk, functional GGA-PBEsol.

Results
Size of the total moment   0.00 μB per atom

a b c (Å): 3.613 3.613 3.613
angles (deg): 109.47 109.47 109.47
Sites, in units of the cell vectors:
1 Na 0.000 0.000 0.000

<Q>
A relaxed structure of Na. Source: Alexandria via LeMat-Bulk, functional GGA-PBEsol.

Results
Size of the total moment   0.00 μB per atom

a b c (Å): 11.116 11.116 11.116
angles (deg): 109.47 109.47 109.47
Sites, in units of the cell vectors:
1 Na 0.722 0.317 0.317
2 Na 0.191 0.375 0.000
3 Na 0.184 0.809 0.809
4 Na 0.317 0.317 0.722
5 Na 0.683 0.000 0.405
6 Na 0.317 0.722 0.317
7 Na 0.683 0.405 0.000
8 Na 0.375 0.000 0.191
9 Na 0.360 0.360 0.360
10 Na 0.191 0.000 0.375
11 Na 0.595 0.278 0.595
12 Na 0.625 0.625 0.816
13 Na 0.278 0.595 0.595
14 Na 0.405 0.683 0.000
15 Na 0.000 0.000 0.640
16 Na 0.000 0.375 0.191
17 Na 0.000 0.191 0.375
18 Na 0.375 0.191 0.000
19 Na 0.640 0.000 0.000
20 Na 0.405 0.000 0.683
21 Na 0.625 0.816 0.625
22 Na 0.816 0.625 0.625
23 Na 0.809 0.809 0.184
24 Na 0.595 0.595 0.278
25 Na 0.809 0.184 0.809
26 Na 0.000 0.640 0.000
27 Na 0.000 0.683 0.405
28 Na 0.000 0.000 0.000
29 Na 0.000 0.405 0.683

<R>
A relaxed structure of Na. Source: Alexandria via LeMat-Bulk, functional GGA-PBEsol.

Results
Size of the total moment   0.00 μB per atom

a b c (Å): 3.588 3.588 6.701
angles (deg): 98.47 98.47 116.74
Sites, in units of the cell vectors:
1 Na 0.132 0.132 0.264
2 Na 0.868 0.868 0.736

<S>
A relaxed structure of Na. Source: Alexandria via LeMat-Bulk, functional GGA-PBEsol.

Results
Size of the total moment   0.00 μB per atom

a b c (Å): 5.278 5.278 5.278
angles (deg): 60.00 60.00 60.00
Sites, in units of the cell vectors:
1 Na 0.000 0.000 0.000
2 Na 0.250 0.250 0.250

Most stable to least stable, the ends of the list are <P> and <S>.